The following is a PBE calculation of an optimized crystal structure of Ce4YSe7, from the Alexandria database.

Calculated values
As for the size of the total moment: 8.8 μB per cell. As for the electronic total energy: -6.367 eV per atom. The uncorrected formation energy is -1.818 eV/atom. For the density, the calculation gives 5.897 g cm⁻³.

Geometry as CIF:
```
data_Ce4YSe7
_cell_length_a 13.8069
_cell_length_b 4.1006
_cell_length_c 12.3832
_cell_angle_alpha 90.00
_cell_angle_beta 105.09
_cell_angle_gamma 90.00
_symmetry_space_group_name_H-M 'C 1 m 1'
_symmetry_Int_Tables_number 8
loop_
_symmetry_equiv_pos_as_xyz
'x,y,z'
'x,-y,z'
'x+1/2,y+1/2,z'
'x+1/2,-y+1/2,z'
loop_
_atom_site_label
_atom_site_type_symbol
_atom_site_fract_x
_atom_site_fract_y
_atom_site_fract_z
Ce1 Ce 0.0000 0.0000 0.0000
Ce2 Ce 0.0846 0.5000 0.3821
Ce3 Ce 0.1880 0.0000 0.7658
Ce4 Ce 0.3859 0.5000 0.5721
Y1 Y 0.2708 0.5000 0.1509
Se1 Se 0.0452 0.5000 0.6259
Se2 Se 0.1273 0.5000 0.9291
Se3 Se 0.1529 0.0000 0.2232
Se4 Se 0.2263 0.0000 0.5226
Se5 Se 0.3467 0.5000 0.7897
Se6 Se 0.3817 0.0000 0.0766
Se7 Se 0.4243 0.5000 0.3537
```

The following is a PBE calculation of an optimized crystal structure of AgPdI2, from the Alexandria database.

Calculated values
For the excess energy over the best structure of this formula in the dataset, the calculation gives 1.6 kJ per mole of atoms. As for the size of the total moment: 0.0 μB per cell. As for the electronic total energy: -2.837 eV per atom. The uncorrected formation energy is -0.051 eV/atom. For the density, the calculation gives 5.906 g cm⁻³.

Geometry as CIF:
```
data_AgPdI2
_cell_length_a 6.4125
_cell_length_b 6.4125
_cell_length_c 12.8015
_cell_angle_alpha 90.00
_cell_angle_beta 90.00
_cell_angle_gamma 90.00
_symmetry_space_group_name_H-M 'I -4 2 d'
_symmetry_Int_Tables_number 122
_symmetry_space_group_name_Hall 'I -4 2bw'
loop_
_atom_site_label
_atom_site_type_symbol
_atom_site_fract_x
_atom_site_fract_y
_atom_site_fract_z
Ag1 Ag 0.0000 0.0000 0.0000
Pd1 Pd 0.0000 0.0000 0.5000
I1 I 0.2305 0.2500 0.6250
```

The following is a PBE calculation of an optimized crystal structure of NaZr2TiHg, from the Alexandria database.

Calculated values
As for the size of the total moment: 0.1 μB per cell. The energy of formation from the pure elements comes out at 1168.5 meV/atom. As for the electronic total energy: -4.154 eV per atom. For the density, the calculation gives 5.284 g cm⁻³.

Geometry as CIF:
```
data_NaZr2TiHg
_cell_length_a 5.3453
_cell_length_b 5.3453
_cell_length_c 4.9923
_cell_angle_alpha 90.00
_cell_angle_beta 90.00
_cell_angle_gamma 90.00
_symmetry_space_group_name_H-M 'P 4/m m m'
_symmetry_Int_Tables_number 123
_symmetry_space_group_name_Hall '-P 4 2'
loop_
_atom_site_label
_atom_site_type_symbol
_atom_site_fract_x
_atom_site_fract_y
_atom_site_fract_z
Na1 Na 0.0000 0.0000 0.0000
Zr1 Zr 0.0000 0.5000 0.5000
Ti1 Ti 0.5000 0.5000 0.0000
Hg1 Hg 0.0000 0.0000 0.5000
```

The following is a PBE calculation of an optimized crystal structure of CoAgI4, from the Alexandria database.

Calculated values
As for the size of the total moment: 7.7 μB per cell. As for the electronic total energy: -2.782 eV per atom. The uncorrected formation energy is -0.089 eV/atom. For the density, the calculation gives 4.551 g cm⁻³.

Geometry as CIF:
```
data_CoAgI4
_cell_length_a 6.4564
_cell_length_b 6.4564
_cell_length_c 11.8056
_cell_angle_alpha 90.00
_cell_angle_beta 90.00
_cell_angle_gamma 90.00
_symmetry_space_group_name_H-M 'P -4 2 c'
_symmetry_Int_Tables_number 112
loop_
_symmetry_equiv_pos_as_xyz
'x,y,z'
'y,-x,-z'
'-x,-y,z'
'-y,x,-z'
'x,-y,-z+1/2'
'y,x,z+1/2'
'-x,y,-z+1/2'
'-y,-x,z+1/2'
loop_
_atom_site_label
_atom_site_type_symbol
_atom_site_fract_x
_atom_site_fract_y
_atom_site_fract_z
Co1 Co 0.0000 0.5000 0.2500
Ag1 Ag 0.0000 0.0000 0.0000
I1 I 0.2384 0.2781 0.3683
```